Record 1
VASP calculation (PBE-GGA) on a relaxed FeAs crystal.

a b c (Å): 2.988 4.553 4.420
angles (deg): 90.00 109.66 90.00
Element x y z (fractional)
Fe (0.203, 0.250, 0.406)
Fe (0.797, 0.750, 0.594)
As (0.090, 0.750, 0.177)
As (0.910, 0.250, 0.823)

Output
Its energy of formation from the pure elements is -0.009 eV per atom. The total magnetization comes out at 0.298 μB per atom. Its space group is P2_1/m, No. 11. The total energy comes out at -13.1 eV/f.u.

=====

Record 2
VASP calculation (PBE-GGA) on a relaxed Na2MgRhAu crystal.

a b c (Å): 5.321 5.321 4.662
angles (deg): 90.00 90.00 90.00
Element x y z (fractional)
Na (0.000, 0.500, 0.000)
Na (0.500, 0.000, 0.000)
Mg (0.000, 0.000, 0.000)
Rh (0.000, 0.000, 0.500)
Au (0.500, 0.500, 0.500)

Output
Its energy of formation from the pure elements is 0.626 eV per atom. The total magnetization comes out at 0.000 μB per atom. Its space group is P4/mmm, No. 123. The total energy comes out at -11.7 eV/f.u.

=====

Record 3
VASP calculation (PBE-GGA) on a relaxed K2NaScBr6 crystal.

a b c (Å): 7.823 7.823 7.823
angles (deg): 60.00 60.00 60.00
Element x y z (fractional)
K (0.250, 0.250, 0.250)
K (0.750, 0.750, 0.750)
Na (0.000, 0.000, 0.000)
Sc (0.500, 0.500, 0.500)
Br (0.260, 0.260, 0.740)
Br (0.260, 0.740, 0.260)
Br (0.260, 0.740, 0.740)
Br (0.740, 0.260, 0.260)
Br (0.740, 0.260, 0.740)
Br (0.740, 0.740, 0.260)

Output
The value obtained for the energy above the most stable polymorph in this dataset is 3.3 kJ/mol of atoms. The total magnetization comes out at 0.000 μB per atom. Its space group is Fm-3m, No. 225. The value obtained for the formation energy (no corrections) is -1.679 eV/atom. The total energy comes out at -36.7 eV/f.u.

=====

Record 4
VASP calculation (PBE-GGA) on a relaxed TbPmAgBi crystal.

a b c (Å): 5.366 5.366 5.366
angles (deg): 60.00 60.00 60.00
Element x y z (fractional)
Tb (0.000, 0.000, 0.000)
Pm (0.500, 0.500, 0.500)
Ag (0.250, 0.250, 0.250)
Bi (0.750, 0.750, 0.750)

Output
Its energy of formation from the pure elements is -0.455 eV per atom. The total magnetization comes out at 0.000 μB per atom. Its space group is F-43m, No. 216. The total energy comes out at -17.9 eV/f.u.

=====

Record 5
VASP calculation (PBE-GGA) on a relaxed TaCr3Cu2S8 crystal.

a b c (Å): 3.448 12.511 12.374
angles (deg): 90.00 90.00 90.00
Element x y z (fractional)
Ta (0.000, 0.081, 0.000)
Ta (0.500, 0.919, 0.500)
Cr (0.000, 0.258, 0.508)
Cr (0.000, 0.576, 0.841)
Cr (0.000, 0.746, 0.329)
Cr (0.500, 0.254, 0.829)
Cr (0.500, 0.424, 0.341)
Cr (0.500, 0.742, 0.008)
Cu (0.000, 0.406, 0.676)
Cu (0.000, 0.936, 0.814)
Cu (0.500, 0.064, 0.314)
Cu (0.500, 0.594, 0.176)
S (0.000, 0.222, 0.701)
S (0.000, 0.269, 0.967)
S (0.000, 0.300, 0.319)
S (0.000, 0.554, 0.303)
S (0.000, 0.602, 0.026)
S (0.000, 0.871, 0.985)
S (0.000, 0.918, 0.636)
S (0.000, 0.936, 0.353)
S (0.500, 0.064, 0.853)
S (0.500, 0.082, 0.136)
S (0.500, 0.129, 0.485)
S (0.500, 0.398, 0.526)
S (0.500, 0.446, 0.803)
S (0.500, 0.700, 0.819)
S (0.500, 0.731, 0.467)
S (0.500, 0.778, 0.201)

Output
The value obtained for the energy above the most stable polymorph in this dataset is 13.8 kJ/mol of atoms. The total magnetization comes out at 0.619 μB per atom. Its space group is Pmn2_1, No. 31. The value obtained for the formation energy (no corrections) is -0.570 eV/atom. The total energy comes out at -89.9 eV/f.u.